Entry 1:
The following is a DFT calculation (PBE) of crystalline OsS3O at its relaxed geometry.

Size of the total moment in μB/f.u.: 0.0
DOS at the Fermi energy in states/eV per atom: 1.01
Distance to the lowest polymorph of the same formula in meV per atom: 264

Lattice parameters (Å, degrees): 4.091 4.091 4.091 90.00 90.00 90.00
Positions (direct):
S (0.000, 0.500, 0.000)
S (0.000, 0.000, 0.500)
S (0.500, 0.000, 0.000)
Os (0.500, 0.500, 0.500)
O (0.000, 0.000, 0.000)



Entry 2:
The following is a DFT calculation (PBE) of crystalline OsSO3 at its relaxed geometry.

Size of the total moment in μB/f.u.: 0.0
Electronic total energy in eV per atom: -6.0434
DOS at the Fermi energy in states/eV per atom: 0.62

Lattice parameters (Å, degrees): 3.849 3.849 3.849 90.00 90.00 90.00
Positions (direct):
S (0.500, 0.500, 0.500)
Os (0.000, 0.000, 0.000)
O (0.000, 0.500, 0.000)
O (0.000, 0.000, 0.500)
O (0.500, 0.000, 0.000)



Entry 3:
The following is a DFT calculation (PBE) of crystalline OsS2O at its relaxed geometry.

Size of the total moment in μB/f.u.: 0.0
Electronic total energy in eV per atom: -5.7369
DOS at the Fermi energy in states/eV per atom: 0.10

Lattice parameters (Å, degrees): 5.358 5.358 6.106 63.97 63.97 90.00
Positions (direct):
S (0.633, 0.125, 0.250)
S (0.117, 0.625, 0.250)
S (0.375, 0.367, 0.750)
S (0.875, 0.883, 0.750)
Os (0.000, 0.000, 0.000)
Os (0.750, 0.250, 0.500)
O (0.500, 0.500, 0.000)
O (0.250, 0.750, 0.500)



Entry 4:
The following is a DFT calculation (PBE) of crystalline OsSO3 at its relaxed geometry.

Size of the total moment in μB/f.u.: 4.1
Electronic total energy in eV per atom: -5.0470
DOS at the Fermi energy in states/eV per atom: 0.67

Lattice parameters (Å, degrees): 3.781 3.781 3.781 90.00 90.00 90.00
Positions (direct):
S (0.000, 0.000, 0.000)
Os (0.500, 0.500, 0.500)
O (0.000, 0.500, 0.000)
O (0.000, 0.000, 0.500)
O (0.500, 0.000, 0.000)



Entry 5:
The following is a DFT calculation (PBE) of crystalline OsS3O at its relaxed geometry.

Size of the total moment in μB/f.u.: 0.0
DOS at the Fermi energy in states/eV per atom: 1.54
Distance to the lowest polymorph of the same formula in meV per atom: 0

Lattice parameters (Å, degrees): 4.535 4.535 4.535 90.00 90.00 90.00
Positions (direct):
S (0.000, 0.500, 0.000)
S (0.000, 0.000, 0.500)
S (0.500, 0.000, 0.000)
Os (0.000, 0.000, 0.000)
O (0.500, 0.500, 0.500)



Entry 6:
The following is a DFT calculation (PBE) of crystalline Y2OsSO at its relaxed geometry.

Size of the total moment in μB/f.u.: 0.0
Electronic total energy in eV per atom: -7.6606
DOS at the Fermi energy in states/eV per atom: 0.67

Lattice parameters (Å, degrees): 4.942 3.816 4.942 90.00 90.00 90.00
Positions (direct):
Y (0.000, 0.000, 0.500)
Y (0.500, 0.000, 0.000)
S (0.500, 0.500, 0.500)
Os (0.000, 0.500, 0.000)
O (0.000, 0.000, 0.000)



Entry 7:
The following is a DFT calculation (PBE) of crystalline SbOsO3 at its relaxed geometry.

Size of the total moment in μB/f.u.: 0.9
Electronic total energy in eV per atom: -6.4099
DOS at the Fermi energy in states/eV per atom: 0.77

Lattice parameters (Å, degrees): 3.959 3.959 3.959 90.00 90.00 90.00
Positions (direct):
Sb (0.500, 0.500, 0.500)
Os (0.000, 0.000, 0.000)
O (0.000, 0.500, 0.000)
O (0.000, 0.000, 0.500)
O (0.500, 0.000, 0.000)



Entry 8:
The following is a DFT calculation (PBE) of crystalline SbOs2O at its relaxed geometry.

Size of the total moment in μB/f.u.: 0.0
DOS at the Fermi energy in states/eV per atom: 1.05
Distance to the lowest polymorph of the same formula in meV per atom: 0

Lattice parameters (Å, degrees): 4.527 4.527 7.504 72.44 72.44 90.00
Positions (direct):
Sb (0.000, 0.000, 0.000)
Sb (0.750, 0.250, 0.500)
Os (0.489, 0.125, 0.250)
Os (0.261, 0.625, 0.250)
Os (0.375, 0.511, 0.750)
Os (0.875, 0.739, 0.750)
O (0.500, 0.500, 0.000)
O (0.250, 0.750, 0.500)



Entry 9:
The following is a DFT calculation (PBE) of crystalline SbOs2O8 at its relaxed geometry.

Size of the total moment in μB/f.u.: 1.0
Electronic total energy in eV per atom: -6.9156
DOS at the Fermi energy in states/eV per atom: 0.42

Lattice parameters (Å, degrees): 5.444 8.091 6.317 129.82 93.77 90.00
Positions (direct):
Sb (0.000, 0.000, 0.000)
Os (0.614, 0.222, 0.443)
Os (0.386, 0.778, 0.557)
O (0.219, 0.724, 0.755)
O (0.781, 0.969, 0.245)
O (0.288, 0.173, 0.346)
O (0.712, 0.827, 0.654)
O (0.219, 0.031, 0.755)
O (0.781, 0.276, 0.245)
O (0.705, 0.395, 0.790)
O (0.295, 0.605, 0.210)



Entry 10:
The following is a DFT calculation (PBE) of crystalline SbOsO2 at its relaxed geometry.

Size of the total moment in μB/f.u.: 0.0
Electronic total energy in eV per atom: -6.1941
DOS at the Fermi energy in states/eV per atom: 1.19

Lattice parameters (Å, degrees): 5.864 5.864 5.969 60.58 60.58 90.00
Positions (direct):
Sb (0.500, 0.500, 0.000)
Sb (0.250, 0.750, 0.500)
Os (0.000, 0.000, 0.000)
Os (0.750, 0.250, 0.500)
O (0.787, 0.125, 0.250)
O (0.963, 0.625, 0.250)
O (0.375, 0.213, 0.750)
O (0.875, 0.037, 0.750)



Entry 11:
The following is a DFT calculation (PBE) of crystalline SbOs3O at its relaxed geometry.

Size of the total moment in μB/f.u.: 0.0
DOS at the Fermi energy in states/eV per atom: 0.87
Distance to the lowest polymorph of the same formula in meV per atom: 0

Lattice parameters (Å, degrees): 4.189 4.189 4.189 90.00 90.00 90.00
Positions (direct):
Sb (0.500, 0.500, 0.500)
Os (0.000, 0.500, 0.000)
Os (0.000, 0.000, 0.500)
Os (0.500, 0.000, 0.000)
O (0.000, 0.000, 0.000)



Entry 12:
The following is a DFT calculation (PBE) of crystalline SbOs2O at its relaxed geometry.

Size of the total moment in μB/f.u.: 0.0
DOS at the Fermi energy in states/eV per atom: 1.93
Distance to the lowest polymorph of the same formula in meV per atom: 518

Lattice parameters (Å, degrees): 4.350 4.350 4.350 60.00 60.00 60.00
Positions (direct):
Sb (0.500, 0.500, 0.500)
Os (0.250, 0.250, 0.250)
Os (0.750, 0.750, 0.750)
O (0.000, 0.000, 0.000)